No. 1
Entry from Alexandria via LeMat-Bulk: a relaxed structure of Cr2PSe (PBE).

Output
ΔE_f (raw)   -0.140 eV/atom
Energy above the lowest structure with this stoichiometry   103 meV/atom

Cell lengths 4.142, 4.142, 5.240 Å; angles 78.19, 78.19, 46.80 degrees
Site moments in Bohr magnetons follow the coordinates.
Fractional positions:
Cr 0.990 0.990 0.996  2.72
Cr 0.782 0.782 0.585  -1.76
P 0.480 0.480 0.681  0.01
Se 0.248 0.248 0.237  -0.03



No. 2
Entry from Alexandria via LeMat-Bulk: a relaxed structure of Li7In2Ag (PBE).

Output
Formation energy from the elements   -0.137 eV per atom
Energy above the lowest structure with this stoichiometry   0 meV/atom

Cell lengths 4.650, 4.650, 9.796 Å; angles 90.00, 90.00, 120.00 degrees
Fractional positions:
Li 0.333 0.667 0.396
Li 0.333 0.667 0.159
Li 0.000 0.000 0.362
Li 0.000 0.000 0.752
Li 0.667 0.333 0.543
Li 0.667 0.333 0.892
Li 0.333 0.667 0.932
In 0.667 0.333 0.215
In 0.333 0.667 0.664
Ag 0.000 0.000 0.068



No. 3
Entry from Alexandria via LeMat-Bulk: a relaxed structure of K3ThSc2Se6 (PBE).

Output
ΔE_f (raw)   -1.597 eV/atom

Cell lengths 7.110, 7.110, 8.062 Å; angles 98.48, 98.48, 120.01 degrees
Fractional positions:
K 0.164 0.836 0.500
K 0.836 0.164 0.500
K 0.500 0.500 0.500
Th 0.000 0.000 0.000
Sc 0.333 0.667 0.000
Sc 0.667 0.333 0.000
Se 0.932 0.584 0.797
Se 0.720 0.720 0.202
Se 0.068 0.416 0.203
Se 0.584 0.932 0.797
Se 0.280 0.280 0.798
Se 0.416 0.068 0.203



No. 4
Entry from Alexandria via LeMat-Bulk: a relaxed structure of FeTcSe2 (PBE).

Output
ΔE_f (raw)   0.515 eV/atom
Energy above the lowest structure with this stoichiometry   749 meV/atom

Cell lengths 4.048, 3.462, 4.889 Å; angles 83.94, 90.00, 90.00 degrees
Site moments in Bohr magnetons follow the coordinates.
Fractional positions:
Fe 0.500 0.750 0.750  3.00
Se 0.000 0.043 0.989  0.06
Se 0.000 0.457 0.511  0.06
Tc 0.500 0.250 0.250  0.96



In the order shown, the computed spin magnetization values come out to 1.04, 0.00, 0.00, 4.24 μB per formula unit.